A plane-wave DFT calculation with GGA-PBE was carried out for a geometry-optimized Er7Pd2S2 structure.

Structure (extended XYZ):
```
11
Lattice="-1.9032 7.4596 4.6088 1.9032 -7.4596 4.6088 1.9032 7.4596 -4.6088" Properties=species:S:1:pos:R:3 pbc="T T T"
Er 0.0000 1.9419 5.3111
Er 1.9032 -4.7494 4.1170
Er 1.9032 -1.7343 2.1646
Er 0.0000 7.4596 3.1048
Er 1.9032 1.7343 2.1646
Er 1.9032 4.7494 4.1170
Er 1.9032 5.5177 0.7023
Pd 0.0000 3.8888 2.2500
Pd 0.0000 11.0304 2.2500
S 0.0000 0.0000 0.7547
S 1.9032 0.0000 4.4533
```

Results
The total DFT energy (no corrections) comes out at -5.61 eV per atom.



A plane-wave DFT calculation with GGA-PBE was carried out for a geometry-optimized ErTlPdS3 structure.

Structure (extended XYZ):
```
12
Lattice="3.6843 6.3878 -1.9029 -6.0769 -4.5502 -0.6044 -4.3526 4.7945 7.6673" Properties=species:S:1:pos:R:3 pbc="T T T"
Er 0.0000 0.0000 0.0000
Er -2.1763 2.3973 3.8336
Pd -2.1937 2.2191 0.6511
Pd -4.5515 4.4130 4.5089
S -0.3477 2.5599 -0.8607
S 1.7731 6.6642 0.1234
S -1.9027 4.2728 1.8786
S -4.8425 2.3592 3.2814
S -8.5183 -0.0321 5.0366
S -6.3975 4.0721 6.0206
Tl -4.8122 -0.7151 0.9994
Tl -1.9330 7.3471 4.1605
```

Results
The value obtained for the energy above the most stable polymorph in this dataset is 10 meV per atom. The total DFT energy (no corrections) comes out at -5.02 eV per atom.



A plane-wave DFT calculation with GGA-PBE was carried out for a geometry-optimized ErTlPdS3 structure.

Structure (extended XYZ):
```
12
Lattice="8.0050 0.0000 0.0000 0.0000 3.9673 0.0000 -3.1687 0.0000 9.5249" Properties=species:S:1:pos:R:3 pbc="T T T"
Er 1.3457 0.9918 3.4251
Er 3.4906 2.9755 6.0998
Pd 0.4097 2.9755 0.8658
Pd 4.4266 0.9918 8.6591
S 1.6337 0.9918 0.6316
S -0.4681 2.9755 3.1885
S 3.2400 2.9755 3.4461
S 1.5963 0.9918 6.0788
S 5.3044 0.9918 6.3364
S 3.2026 2.9755 8.8933
Tl 5.2420 0.9918 2.0927
Tl -0.4057 2.9755 7.4322
```

Results
The value obtained for the energy above the most stable polymorph in this dataset is 0 meV per atom. The total DFT energy (no corrections) comes out at -5.03 eV per atom.



A plane-wave DFT calculation with GGA-PBE was carried out for a geometry-optimized ErSbPd structure.

Structure (extended XYZ):
```
9
Lattice="7.3113 0.0000 0.0000 -3.6557 6.3318 0.0000 0.0000 0.0000 4.2286" Properties=species:S:1:pos:R:3 pbc="T T T"
Er 4.2880 0.0000 0.0000
Er 1.5117 2.6183 0.0000
Er -2.1440 3.7135 0.0000
Pd 1.9082 0.0000 2.1143
Pd -0.9541 1.6526 2.1143
Pd 2.7015 4.6792 2.1143
Sb 0.0000 0.0000 0.0000
Sb 3.6557 2.1106 2.1143
Sb 0.0000 4.2212 2.1143
```

Results
The total DFT energy (no corrections) comes out at -5.62 eV per atom.



A plane-wave DFT calculation with GGA-PBE was carried out for a geometry-optimized ErSbPd structure.

Structure (extended XYZ):
```
3
Lattice="0.0000 3.2834 3.2834 3.2834 0.0000 3.2834 3.2834 3.2834 0.0000" Properties=species:S:1:pos:R:3 pbc="T T T"
Er 1.6417 1.6417 1.6417
Pd 0.0000 0.0000 0.0000
Sb 4.9250 4.9250 4.9250
```

Results
The total DFT energy (no corrections) comes out at -5.74 eV per atom.



A plane-wave DFT calculation with GGA-PBE was carried out for a geometry-optimized ErSbPd5 structure.

Structure (extended XYZ):
```
14
Lattice="-2.8472 0.2001 -3.0219 -1.0545 -3.9535 0.7324 -10.0213 4.4813 9.7431" Properties=species:S:1:pos:R:3 pbc="T T T"
Er -4.4575 -0.7534 1.2883
Er -9.4656 1.4813 6.1652
Pd -3.6073 -3.3456 0.3175
Pd -1.6572 -1.4703 1.4622
Pd -3.5610 -2.8305 3.1657
Pd -6.3604 -2.1158 2.9938
Pd -4.4107 -0.2395 4.1376
Pd -9.5124 0.9674 3.3159
Pd -7.5626 2.8436 4.4597
Pd -10.3620 3.5583 4.2878
Pd -12.2659 2.1981 5.9913
Pd -10.3158 4.0734 7.1360
Sb 0.0000 0.0000 0.0000
Sb -5.0107 2.2406 4.8715
```

Results
The total DFT energy (no corrections) comes out at -5.67 eV per atom.



A plane-wave DFT calculation with GGA-PBE was carried out for a geometry-optimized ErScPd structure.

Structure (extended XYZ):
```
3
Lattice="0.0000 3.3201 3.3201 3.3201 0.0000 3.3201 3.3201 3.3201 0.0000" Properties=species:S:1:pos:R:3 pbc="T T T"
Er 1.6600 1.6600 1.6600
Pd 0.0000 0.0000 0.0000
Sc 4.9801 4.9801 4.9801
```

Results
The value obtained for the energy above the most stable polymorph in this dataset is 0 meV per atom. The total DFT energy (no corrections) comes out at -5.83 eV per atom. For the energy of formation, the calculation gives -0.475 eV per atom.



A plane-wave DFT calculation with GGA-PBE was carried out for a geometry-optimized Er3Sc3Te2Pd structure.

Structure (extended XYZ):
```
9
Lattice="-1.4971 3.0298 7.4664 -6.2258 -1.7830 -5.0229 -0.1242 -3.5204 1.4036" Properties=species:S:1:pos:R:3 pbc="T T T"
Er -0.4400 -0.9954 2.5865
Er -1.6336 -2.2103 -0.5661
Er -5.8356 -0.8281 2.5286
Pd 0.0000 0.0000 0.0000
Sc -0.8974 1.8161 4.4754
Sc -3.0937 0.4995 0.9789
Sc -3.7318 -1.0687 -3.0107
Te -3.1354 -0.3347 4.0052
Te -4.7117 -1.9389 -0.1580
```

Results
The value obtained for the energy above the most stable polymorph in this dataset is 78 meV per atom. The total DFT energy (no corrections) comes out at -5.63 eV per atom.



A plane-wave DFT calculation with GGA-PBE was carried out for a geometry-optimized Er3Sc3Te2Pd structure.

Structure (extended XYZ):
```
9
Lattice="8.0098 0.0000 0.0000 -4.0049 6.9367 0.0000 0.0000 0.0000 3.9186" Properties=species:S:1:pos:R:3 pbc="T T T"
Er 4.8493 0.0000 0.0000
Er 1.5803 2.7371 0.0000
Er -2.4246 4.1996 0.0000
Pd 0.0000 0.0000 0.0000
Sc 1.9381 0.0000 1.9593
Sc -0.9691 1.6785 1.9593
Sc 3.0358 5.2582 1.9593
Te 4.0049 2.3122 1.9593
Te 0.0000 4.6244 1.9593
```

Results
The value obtained for the energy above the most stable polymorph in this dataset is 0 meV per atom. The total DFT energy (no corrections) comes out at -5.71 eV per atom.



A plane-wave DFT calculation with GGA-PBE was carried out for a geometry-optimized Er7Pd2Se2 structure.

Structure (extended XYZ):
```
11
Lattice="-1.9258 7.5665 4.6728 1.9258 -7.5665 4.6728 1.9258 7.5665 -4.6728" Properties=species:S:1:pos:R:3 pbc="T T T"
Er 0.0000 2.0673 5.4145
Er 1.9258 -4.8247 4.1594
Er 1.9258 -1.8422 2.2035
Er 0.0000 7.5665 3.0427
Er 1.9258 1.8422 2.2035
Er 1.9258 4.8247 4.1594
Er 1.9258 5.4992 0.7417
Pd 0.0000 3.9594 2.3070
Pd 0.0000 11.1735 2.3070
Se 0.0000 0.0000 0.7731
Se 1.9258 0.0000 4.5135
```

Results
The total DFT energy (no corrections) comes out at -5.46 eV per atom.



A plane-wave DFT calculation with GGA-PBE was carried out for a geometry-optimized ErSi3Pd4 structure.

Structure (extended XYZ):
```
8
Lattice="5.7982 0.0000 0.0000 0.0000 3.7858 0.0000 -0.0998 0.0000 6.0903" Properties=species:S:1:pos:R:3 pbc="T T T"
Er 3.8251 0.0000 2.2517
Pd 2.5614 1.8929 0.6939
Pd 0.1759 1.8929 2.0425
Pd 0.0567 0.0000 4.4070
Pd 2.9250 0.0000 4.8762
Si 0.9326 0.0000 0.6417
Si 1.8150 1.8929 3.7790
Si 4.7037 1.8929 5.6694
```

Results
The total DFT energy (no corrections) comes out at -5.77 eV per atom.



A plane-wave DFT calculation with GGA-PBE was carried out for a geometry-optimized ErSiPd2 structure.

Structure (extended XYZ):
```
8
Lattice="4.0271 0.0000 0.0000 0.0000 7.1106 0.0000 0.0000 0.0000 4.9982" Properties=species:S:1:pos:R:3 pbc="T T T"
Er 2.0135 1.2361 0.3147
Er 2.0135 5.8745 2.8138
Pd 2.0135 4.2109 0.1521
Pd 0.0000 6.2501 0.5135
Pd 2.0135 2.8996 2.6513
Pd 0.0000 0.8605 3.0127
Si 0.0000 3.9026 1.5187
Si 0.0000 3.2080 4.0178
```

Results
The total DFT energy (no corrections) comes out at -5.87 eV per atom.



A plane-wave DFT calculation with GGA-PBE was carried out for a geometry-optimized Er2SiPd structure.

Structure (extended XYZ):
```
8
Lattice="-3.9048 -0.3478 3.9734 -2.7708 -0.9726 -2.8081 1.7523 -7.3180 0.8057" Properties=species:S:1:pos:R:3 pbc="T T T"
Er -2.2637 -2.1294 -1.4382
Er -2.5811 -2.8267 2.0561
Er -2.3423 -5.8117 -0.0852
Er -2.6597 -6.5090 3.4091
Pd -0.4889 -3.6416 0.2740
Pd -4.4344 -4.9968 1.6969
Si -4.4571 -1.2125 0.4086
Si -0.4662 -7.4259 1.5623
```

Results
The total DFT energy (no corrections) comes out at -5.74 eV per atom.



A plane-wave DFT calculation with GGA-PBE was carried out for a geometry-optimized Er4Si3Pd structure.

Structure (extended XYZ):
```
8
Lattice="5.6648 0.0000 0.0000 0.0000 3.9543 0.0000 -0.1326 0.0000 7.6361" Properties=species:S:1:pos:R:3 pbc="T T T"
Er 2.1311 0.0000 1.3476
Er 4.9072 1.9772 2.3772
Er 0.5956 0.0000 5.1767
Er 3.4140 1.9772 6.3587
Pd 4.9064 0.0000 0.3053
Si 2.0387 1.9772 3.5391
Si 3.4827 0.0000 4.1436
Si 0.6534 1.9772 7.2961
```

Results
The total DFT energy (no corrections) comes out at -5.77 eV per atom.



A plane-wave DFT calculation with GGA-PBE was carried out for a geometry-optimized Er2SiPd structure.

Structure (extended XYZ):
```
8
Lattice="-1.8677 3.5622 -1.4592 -4.8633 -1.6251 2.2576 1.7068 3.4051 6.1280" Properties=species:S:1:pos:R:3 pbc="T T T"
Er -2.6628 -0.3773 2.4872
Er -0.9233 2.7030 1.5076
Er -0.7300 1.6859 5.0501
Er -3.8483 3.1430 6.3255
Pd -0.4916 -0.0586 0.4860
Pd -3.3911 0.3898 5.2922
Si -3.1398 2.3422 3.4637
Si -1.1745 4.4163 6.0116
```

Results
The total DFT energy (no corrections) comes out at -5.79 eV per atom.



A plane-wave DFT calculation with GGA-PBE was carried out for a geometry-optimized Er2SiPd structure.

Structure (extended XYZ):
```
8
Lattice="4.3019 0.0000 0.0000 0.0000 7.1715 0.0000 0.0000 0.0000 5.6063" Properties=species:S:1:pos:R:3 pbc="T T T"
Er 0.0000 4.1443 0.7277
Er 0.0000 0.4717 2.0299
Er 2.1509 3.0272 3.5309
Er 2.1509 6.6997 4.8331
Pd 2.1509 5.6445 2.0556
Pd 0.0000 1.5269 4.8588
Si 2.1509 2.1090 0.7931
Si 0.0000 5.0625 3.5962
```

Results
The total DFT energy (no corrections) comes out at -5.78 eV per atom.



A plane-wave DFT calculation with GGA-PBE was carried out for a geometry-optimized ErSiPd2 structure.

Structure (extended XYZ):
```
8
Lattice="4.1709 0.0000 0.0000 0.0000 6.1117 0.0000 0.0000 0.0000 5.5952" Properties=species:S:1:pos:R:3 pbc="T T T"
Er 2.0855 5.5956 2.0463
Er 0.0000 0.5161 4.8439
Pd 0.0000 4.0409 0.8729
Pd 0.0000 1.5739 1.9599
Pd 2.0855 2.0708 3.6705
Pd 2.0855 4.5378 4.7575
Si 2.0855 2.3857 0.7162
Si 0.0000 3.7260 3.5138
```

Results
The total DFT energy (no corrections) comes out at -5.86 eV per atom.



A plane-wave DFT calculation with GGA-PBE was carried out for a geometry-optimized ErSi2TcPd structure.

Structure (extended XYZ):
```
5
Lattice="-2.0644 2.0644 4.9467 2.0644 -2.0644 4.9467 2.0644 2.0644 -4.9467" Properties=species:S:1:pos:R:3 pbc="T T T"
Er 0.0000 0.0000 0.0000
Pd 0.0000 2.0644 2.4734
Si 0.0000 0.0000 3.7413
Si 0.0000 0.0000 6.1522
Tc 2.0644 0.0000 2.4734
```

Results
The total DFT energy (no corrections) comes out at -7.00 eV per atom.



A plane-wave DFT calculation with GGA-PBE was carried out for a geometry-optimized YEr2Si4Pd4 structure.

Structure (extended XYZ):
```
11
Lattice="-6.2536 0.2649 4.8525 -7.0191 2.1573 -2.9669 6.0991 -5.0481 0.2045" Properties=species:S:1:pos:R:3 pbc="T T T"
Er -1.7327 -2.0895 2.7637
Er -5.4409 -0.5364 -0.6736
Pd -4.3630 -0.6400 2.1228
Pd -9.0019 0.2066 2.7818
Pd 1.8283 -2.8325 -0.6918
Pd -2.8105 -1.9859 -0.0327
Si -2.9164 0.5322 0.4143
Si -10.3562 1.8900 1.4713
Si -6.6642 0.3478 1.8555
Si -0.5094 -2.9737 0.2346
Y 0.0000 0.0000 0.0000
```

Results
The total DFT energy (no corrections) comes out at -6.24 eV per atom.



A plane-wave DFT calculation with GGA-PBE was carried out for a geometry-optimized YErSi2Pd structure.

Structure (extended XYZ):
```
10
Lattice="-3.3250 2.7677 3.6321 -4.8695 -1.0528 2.6622 8.1711 -4.3143 3.9826" Properties=species:S:1:pos:R:3 pbc="T T T"
Er 2.6349 -1.3971 1.3075
Er -2.6582 -1.2023 8.9694
Pd -2.9842 -0.3195 6.0110
Pd 2.9609 -2.2799 4.2659
Si -3.0078 0.3282 3.4970
Si 0.5374 -1.2451 4.0491
Si -0.5607 -1.3543 6.2278
Si 2.9845 -2.9276 6.7799
Y -0.6613 -0.1380 1.5966
Y 0.6380 -2.4615 8.6803
```

Results
The total DFT energy (no corrections) comes out at -6.35 eV per atom.



A plane-wave DFT calculation with GGA-PBE was carried out for a geometry-optimized SmEr2Sn4Pd4 structure.

Structure (extended XYZ):
```
11
Lattice="-2.1901 3.7218 7.3286 2.1901 -3.7218 7.3286 2.1901 3.7218 -7.3286" Properties=species:S:1:pos:R:3 pbc="T T T"
Er 0.0000 3.7218 1.8869
Er 2.1901 0.0000 5.4417
Pd 0.0000 2.2180 4.7281
Pd 0.0000 2.2180 9.9290
Pd 2.1901 1.5039 -2.6005
Pd 2.1901 1.5039 2.6005
Sm 0.0000 0.0000 0.0000
Sn 0.0000 0.0000 3.1663
Sn 0.0000 0.0000 11.4908
Sn 0.0000 1.4496 7.3286
Sn 2.1901 2.2722 0.0000
```

Results
The total DFT energy (no corrections) comes out at -5.42 eV per atom.



A plane-wave DFT calculation with GGA-PBE was carried out for a geometry-optimized SmErTlPd2 structure.

Structure (extended XYZ):
```
5
Lattice="3.6833 0.0000 0.0000 0.0000 2.0753 7.5551 0.0000 -2.0753 7.5551" Properties=species:S:1:pos:R:3 pbc="T T T"
Er 0.0000 0.0000 9.6061
Pd 1.8416 0.0000 2.8545
Pd 1.8416 0.0000 12.1938
Sm 0.0000 0.0000 5.5462
Tl 1.8416 0.0000 0.0198
```

Results
The total DFT energy (no corrections) comes out at -5.15 eV per atom.



A plane-wave DFT calculation with GGA-PBE was carried out for a geometry-optimized ErSnPd2 structure.

Structure (extended XYZ):
```
8
Lattice="-0.3709 -3.1256 2.4677 -3.4870 -2.9536 -4.2651 5.3742 -2.6551 -2.5551" Properties=species:S:1:pos:R:3 pbc="T T T"
Er -1.3025 -2.3944 -3.2284
Er 2.4281 -2.8381 -3.2297
Pd -0.1248 -0.2949 -0.3923
Pd 0.3426 -4.5416 -2.4596
Pd -0.3929 -4.1257 -5.2845
Pd 3.5961 -5.3894 -3.0445
Sn 0.9750 -2.8807 -0.2610
Sn 1.2856 -6.2212 -4.4453
```

Results
The total DFT energy (no corrections) comes out at -5.48 eV per atom.



A plane-wave DFT calculation with GGA-PBE was carried out for a geometry-optimized ErSn3Pd4 structure.

Structure (extended XYZ):
```
8
Lattice="-3.1727 3.7960 -2.8335 -3.4238 -0.9019 2.6253 1.9653 4.2993 4.0399" Properties=species:S:1:pos:R:3 pbc="T T T"
Er -0.4816 2.7215 0.3068
Pd -2.7561 0.9325 0.4261
Pd -1.6973 5.1908 -0.4303
Pd -1.1076 2.4950 3.1128
Pd -0.2669 6.7337 1.9652
Sn -4.1339 3.6281 -0.4447
Sn -2.3942 4.7783 2.2192
Sn 1.1607 4.0972 2.9212
```

Results
The total DFT energy (no corrections) comes out at -5.34 eV per atom.